Here is FeOsRh2O8 after structural relaxation from Alexandria. Energies are from GGA+U.

Unit cell a=4.5335 b=4.5332 c=6.1714 alpha=90.00 beta=90.00 gamma=90.13
Last column: nearest neighbours and their distance in Å.
Fractional coordinates of all 12 atoms:
Fe1 0.0000 0.0000 0.5000  6 O 1.92-1.97
Os1 0.0000 0.0000 0.0000  6 O 1.91-1.95
Rh1 0.5000 0.5000 0.7462  6 O 1.99-2.03
Rh2 0.5000 0.5000 0.2538  6 O 1.99-2.03
O1 0.1886 0.8113 0.2476  1 Os 1.95, 1 Fe 1.97, 1 Rh 2.00
O2 0.7010 0.7011 0.0000  1 Os 1.91, 2 Rh 2.03
O3 0.8114 0.1887 0.2476  1 Os 1.95, 1 Fe 1.97, 1 Rh 2.00
O4 0.8114 0.1887 0.7524  1 Os 1.95, 1 Fe 1.97, 1 Rh 2.00
O5 0.2990 0.2989 0.0000  1 Os 1.91, 2 Rh 2.03
O6 0.1886 0.8113 0.7524  1 Os 1.95, 1 Fe 1.97, 1 Rh 2.00
O7 0.6997 0.6997 0.5000  1 Fe 1.92, 2 Rh 1.99
O8 0.3003 0.3003 0.5000  1 Fe 1.92, 2 Rh 1.99

## Properties
DFT total energy: -81.49 eV per cell
Total magnetic moment: 0.8 μB per formula unit
SG: Cmmm (65)